{"formula": "Sm2Cd15Ag2", "functional": "GGA-PBE", "state": "optimized geometry", "lattice_angstrom": [[4.998, 2.886, 4.972], [-4.998, 2.886, 4.972], [0.000, -5.772, 4.972]], "species": ["Sm", "Sm", "Cd", "Cd", "Cd", "Cd", "Cd", "Cd", "Cd", "Cd", "Cd", "Cd", "Cd", "Cd", "Cd", "Cd", "Cd", "Ag", "Ag"], "frac_coords": [[0.169, 0.169, 0.169], [0.831, 0.831, 0.831], [0.000, 0.500, 0.500], [0.141, 0.141, 0.658], [0.141, 0.658, 0.141], [0.204, 0.500, 0.796], [0.204, 0.796, 0.500], [0.342, 0.859, 0.859], [0.500, 0.000, 0.500], [0.500, 0.204, 0.796], [0.500, 0.500, 0.000], [0.500, 0.796, 0.204], [0.658, 0.141, 0.141], [0.796, 0.204, 0.500], [0.796, 0.500, 0.204], [0.859, 0.342, 0.859], [0.859, 0.859, 0.342], [0.396, 0.396, 0.396], [0.604, 0.604, 0.604]], "delta_e_f_ev_per_atom": -0.1270, "spacegroup": "R-3m (166)", "e_tot_ev_per_atom": -1.6464}